[1]
The following is a PBE calculation of crystalline CsUSeS3 at its relaxed geometry, from the Alexandria database.

a b c (Å): 8.6512 8.6512 7.6453
angles (deg): 90.00 90.00 131.49
With the nearest neighbours (Å) after each atom.
Sites, in units of the cell vectors:
Cs  0.2479  0.7521  0.7500  4 S 3.63-3.88, 1 Se 3.90
Cs  0.7521  0.2479  0.2500  4 S 3.63-3.88, 1 Se 3.90
U  0.0490  0.9510  0.2500  5 S 2.46-2.65
U  0.9510  0.0490  0.7500  5 S 2.46-2.65
Se  0.4953  0.5047  0.7500  4 S 2.69
Se  0.5047  0.4953  0.2500  4 S 2.69
S  0.2052  0.7948  0.2500  1 U 2.46
S  0.2345  0.2345  0.0000  2 U 2.65, 2 Se 2.69
S  0.2345  0.2345  0.5000  2 U 2.65, 2 Se 2.69
S  0.7655  0.7655  0.0000  2 U 2.65, 2 Se 2.69
S  0.7655  0.7655  0.5000  2 U 2.65, 2 Se 2.69
S  0.7948  0.2052  0.7500  1 U 2.46

Output
D(E_F): 13.35 states/eV/cell
total magnetization: 4.47 Bohr magnetons per cell
total energy: -0.3957 Ry/atom
formation energy from raw total energies: -716.1 meV/atom



[2]
The following is a PBE calculation of crystalline ErScPb2 at its relaxed geometry, from the Alexandria database.

a b c (Å): 3.4597 3.4597 8.7394
angles (deg): 90.00 90.00 90.00
With the nearest neighbours (Å) after each atom.
Sites, in units of the cell vectors:
Er  0.0000  0.0000  0.0000  8 Pb 3.33, 4 Er 3.46
Sc  0.0000  0.0000  0.5000  8 Pb 3.23, 4 Sc 3.46
Pb  0.5000  0.5000  0.2593  4 Sc 3.23, 4 Er 3.33, 4 Pb 3.46
Pb  0.5000  0.5000  0.7407  4 Sc 3.23, 4 Er 3.33, 4 Pb 3.46

Output
D(E_F): 3.76 states/eV/cell
total magnetization: 0.46 Bohr magnetons per cell
total energy: -0.3622 Ry/atom
ΔH_f (0 K): -0.350 eV/atom



[3]
The following is a PBE calculation of crystalline Pu2NpGe at its relaxed geometry, from the Alexandria database.

a b c (Å): 4.5134 4.5134 4.4772
angles (deg): 90.00 90.00 90.00
With the nearest neighbours (Å) after each atom.
Sites, in units of the cell vectors:
Pu  0.0000  0.5000  0.0000  4 Ge 3.18, 4 Np 3.18, 4 Pu 3.19
Pu  0.5000  0.0000  0.0000  4 Ge 3.18, 4 Np 3.18, 4 Pu 3.19
Np  0.0000  0.0000  0.5000  8 Pu 3.18, 4 Ge 3.19
Ge  0.5000  0.5000  0.5000  8 Pu 3.18, 4 Np 3.19

Output
D(E_F): 13.86 states/eV/cell
total magnetization: 15.27 Bohr magnetons per cell
total energy: -0.8548 Ry/atom
ΔH_f (0 K): -0.075 eV/atom



- Which of these has the highest total energy?
  ErScPb2



- Look up the D(E_F) of the third one.
  13.86 states/eV/cell



Copy entry 1 word for word.
The following is a PBE calculation of crystalline CsUSeS3 at its relaxed geometry, from the Alexandria database.

a b c (Å): 8.6512 8.6512 7.6453
angles (deg): 90.00 90.00 131.49
With the nearest neighbours (Å) after each atom.
Sites, in units of the cell vectors:
Cs  0.2479  0.7521  0.7500  4 S 3.63-3.88, 1 Se 3.90
Cs  0.7521  0.2479  0.2500  4 S 3.63-3.88, 1 Se 3.90
U  0.0490  0.9510  0.2500  5 S 2.46-2.65
U  0.9510  0.0490  0.7500  5 S 2.46-2.65
Se  0.4953  0.5047  0.7500  4 S 2.69
Se  0.5047  0.4953  0.2500  4 S 2.69
S  0.2052  0.7948  0.2500  1 U 2.46
S  0.2345  0.2345  0.0000  2 U 2.65, 2 Se 2.69
S  0.2345  0.2345  0.5000  2 U 2.65, 2 Se 2.69
S  0.7655  0.7655  0.0000  2 U 2.65, 2 Se 2.69
S  0.7655  0.7655  0.5000  2 U 2.65, 2 Se 2.69
S  0.7948  0.2052  0.7500  1 U 2.46

Output
D(E_F): 13.35 states/eV/cell
total magnetization: 4.47 Bohr magnetons per cell
total energy: -0.3957 Ry/atom
formation energy from raw total energies: -716.1 meV/atom